Record 1
# TlNi2Au

A relaxed structure of TlNi2Au (PBE, the Alexandria database). Values from VASP.

Geometry as Quantum ESPRESSO input:
```
&SYSTEM
  ibrav = 0, nat = 4, ntyp = 3
/
ATOMIC_SPECIES
Ni 58.69 Ni.upf
Tl 204.38 Tl.upf
Au 196.97 Au.upf
ATOMIC_POSITIONS crystal
Ni 0.000 0.000 0.991
Ni 0.000 0.000 0.509
Tl 0.500 0.500 0.250
Au 0.500 0.500 0.750
CELL_PARAMETERS angstrom
-2.857 -1.415 -0.580
1.495 -2.326 -1.691
0.590 -3.215 4.946
```

E = -4.099 eV/atom
volume = 62.3 Å³/f.u.
symmetry = P4/mmm (123)

=====

Record 2
# TlNiAu

A relaxed structure of TlNiAu (PBE, the Alexandria database). Values from VASP.

Geometry as Quantum ESPRESSO input:
```
&SYSTEM
  ibrav = 0, nat = 3, ntyp = 3
/
ATOMIC_SPECIES
Tl 204.38 Tl.upf
Ni 58.69 Ni.upf
Au 196.97 Au.upf
ATOMIC_POSITIONS crystal
Tl 0.000 0.000 0.000
Ni 0.750 0.750 0.750
Au 0.500 0.500 0.500
CELL_PARAMETERS angstrom
4.380 0.000 0.000
2.190 3.794 0.000
2.190 1.265 3.577
```

E = -3.633 eV/atom
volume = 59.4 Å³/f.u.
symmetry = F-43m (216)

=====

Record 3
# TlNi2Au

A relaxed structure of TlNi2Au (PBE, the Alexandria database). Values from VASP.

Geometry as Quantum ESPRESSO input:
```
&SYSTEM
  ibrav = 0, nat = 4, ntyp = 3
/
ATOMIC_SPECIES
Ni 58.69 Ni.upf
Tl 204.38 Tl.upf
Au 196.97 Au.upf
ATOMIC_POSITIONS crystal
Ni 0.731 0.731 0.732
Ni 0.018 0.018 0.024
Tl 0.486 0.486 0.546
Au 0.266 0.266 0.198
CELL_PARAMETERS angstrom
5.008 -0.008 0.004
4.097 2.880 0.004
1.241 0.392 4.352
```

E = -4.082 eV/atom
volume = 62.9 Å³/f.u.
symmetry = Cm (8)

=====

Record 4
# Tl2NiAu

A relaxed structure of Tl2NiAu (PBE, the Alexandria database). Values from VASP.

Geometry as Quantum ESPRESSO input:
```
&SYSTEM
  ibrav = 0, nat = 4, ntyp = 3
/
ATOMIC_SPECIES
Au 196.97 Au.upf
Tl 204.38 Tl.upf
Ni 58.69 Ni.upf
ATOMIC_POSITIONS crystal
Au 0.500 0.500 0.000
Tl 0.250 0.750 0.500
Tl 0.000 0.000 0.000
Ni 0.750 0.250 0.500
CELL_PARAMETERS angstrom
5.450 0.029 0.000
2.120 5.021 0.000
-3.785 -2.525 3.000
```

E = -3.126 eV/atom
volume = 81.9 Å³/f.u.
symmetry = I-4m2 (119)

=====

Question: What is the volume in the second record?
Answer: 59.4 Å³/f.u.

=====

Question: E of number 4 (Tl2NiAu)?
Answer: -3.126 eV/atom

=====

Please write out number 2 again, unchanged.
# TlNiAu

A relaxed structure of TlNiAu (PBE, the Alexandria database). Values from VASP.

Geometry as Quantum ESPRESSO input:
```
&SYSTEM
  ibrav = 0, nat = 3, ntyp = 3
/
ATOMIC_SPECIES
Tl 204.38 Tl.upf
Ni 58.69 Ni.upf
Au 196.97 Au.upf
ATOMIC_POSITIONS crystal
Tl 0.000 0.000 0.000
Ni 0.750 0.750 0.750
Au 0.500 0.500 0.500
CELL_PARAMETERS angstrom
4.380 0.000 0.000
2.190 3.794 0.000
2.190 1.265 3.577
```

E = -3.633 eV/atom
volume = 59.4 Å³/f.u.
symmetry = F-43m (216)